[1]
The following is a PBE calculation of an optimized crystal structure of CaHo5Rh6, from Alexandria.

Structure (POSCAR):
```
CaHo5Rh6
1.0
-2.9782 -3.4756 -1.4955
7.7215 -2.4500 -1.9563
-1.9574 1.5837 7.9443
Ca Rh Ho
1 6 5
Cartesian
0.0000 0.0000 0.0000
-0.9358 -0.4239 2.8325
0.4275 -2.5451 5.0296
-0.7614 -2.8728 0.4261
3.5473 -1.4691 4.0664
2.3584 -1.7967 -0.5371
3.7217 -3.9180 1.6599
-1.8707 -0.8108 5.5846
1.2545 0.2451 4.6588
1.3929 -2.1709 2.2462
4.5096 -1.1114 1.3292
4.6565 -3.5310 -1.0921
```

Output
As for the total DFT energy (no corrections): -6.58 eV per atom.

---

[2]
The following is a PBE calculation of an optimized crystal structure of CaHoRh2, from Alexandria.

Structure (POSCAR):
```
CaHoRh2
1.0
-2.1237 -4.0079 1.6165
1.2199 -4.2803 -1.8379
2.4957 -3.1408 2.6633
Ca Rh Ho
1 2 1
Cartesian
0.7960 -5.7145 1.2210
0.3980 -2.8572 0.6105
1.1939 -8.5717 1.8315
0.0000 0.0000 0.0000
```

Output
The excess energy over the best structure of this formula in the dataset is 31 meV per atom. As for the total DFT energy (no corrections): -5.96 eV per atom.

---

[3]
The following is a PBE calculation of an optimized crystal structure of Ca2Ho2Rh3, from Alexandria.

Structure (POSCAR):
```
Ca2Ho2Rh3
1.0
4.5963 -0.0006 -1.2831
-2.4771 4.0794 -0.0016
-0.0679 -0.0392 8.6303
Ca Ho Rh
2 2 3
Cartesian
0.8193 0.4989 2.9348
1.2320 3.5407 4.4108
2.5114 1.5258 0.1219
-0.4601 2.5138 7.2237
0.0000 0.0000 0.0000
1.6882 1.0257 6.0460
0.3631 3.0140 1.2995
```

Output
As for the total DFT energy (no corrections): -5.66 eV per atom.

---

[4]
The following is a PBE calculation of an optimized crystal structure of Ca3HoRh8, from Alexandria.

Structure (POSCAR):
```
Ca3HoRh8
1.0
5.1097 0.0000 1.5425
2.3220 4.5517 1.5425
-0.0125 -0.0076 9.2759
Ca Ho Rh
3 1 8
Cartesian
2.7742 1.6991 9.2794
-0.0007 -0.0004 9.2369
3.6973 2.2644 6.2215
6.4990 3.9804 6.1749
5.7916 1.9884 3.8832
4.4178 4.2631 8.4737
3.2466 1.9884 3.1149
6.9606 4.2631 9.2413
1.3880 0.8501 4.6368
5.0979 3.1222 10.8163
4.4032 4.2554 3.8832
5.8051 1.9980 8.4737
```

Output
As for the total DFT energy (no corrections): -6.30 eV per atom.

---

[5]
The following is a PBE calculation of an optimized crystal structure of CaHo4Rh5, from Alexandria.

Structure (POSCAR):
```
CaHo4Rh5
1.0
-0.0899 -2.8073 -1.9443
3.2340 0.5545 -0.9503
5.4772 -9.3189 13.2024
Ca Ho Rh
1 4 5
Cartesian
0.0000 0.0000 0.0000
1.1021 -1.8751 2.6564
2.1934 -3.7318 5.2870
3.2838 -5.5871 7.9154
4.3751 -7.4438 10.5459
2.1756 -2.1533 0.0076
3.2326 -3.9516 2.5553
4.3107 -5.7859 5.1539
5.3887 -7.6201 7.7525
6.4457 -9.4184 10.3002
```

Output
As for the total DFT energy (no corrections): -6.52 eV per atom.

---

[6]
The following is a PBE calculation of an optimized crystal structure of CaHo2Rh3, from Alexandria.

Structure (POSCAR):
```
CaHo2Rh3
1.0
3.3903 0.0000 0.0000
0.0000 3.3903 0.0000
0.0000 0.0000 10.4223
Ca Ho Rh
1 2 3
Cartesian
1.6952 1.6952 5.2111
1.6952 1.6952 8.6858
1.6952 1.6952 1.7365
0.0000 0.0000 0.0000
0.0000 0.0000 7.1052
0.0000 0.0000 3.3171
```

Output
As for the total DFT energy (no corrections): -6.29 eV per atom.

---

[7]
The following is a PBE calculation of an optimized crystal structure of CaHoRuRh, from Alexandria.

Structure (POSCAR):
```
CaHoRuRh
1.0
-4.1032 2.1352 1.2929
-3.8184 -0.1755 -2.9078
-3.8148 -2.6581 1.2035
Ru Ca Rh Ho
1 1 1 1
Cartesian
-8.8023 -0.5238 -0.3086
0.0000 0.0000 0.0000
-2.9341 -0.1746 -0.1029
-5.8682 -0.3492 -0.2057
```

Output
As for the total DFT energy (no corrections): -6.06 eV per atom.

---

[8]
The following is a PBE calculation of an optimized crystal structure of CaHoSnRh, from Alexandria.

Structure (POSCAR):
```
CaHoSnRh
1.0
-1.3131 -4.5052 -1.9811
-0.0047 -4.1667 2.9300
-4.4104 -2.1768 1.3251
Ca Rh Ho Sn
1 1 1 1
Cartesian
-2.8641 -5.4243 1.1370
-4.2961 -8.1365 1.7055
0.0000 0.0000 0.0000
-1.4320 -2.7122 0.5685
```

Output
As for the total DFT energy (no corrections): -5.03 eV per atom.

---

[9]
The following is a PBE calculation of an optimized crystal structure of CaTb2HoRh4, from Alexandria.

Structure (POSCAR):
```
CaTb2HoRh4
1.0
-2.5675 3.6225 1.9303
-3.5982 2.0301 -2.5242
-7.1454 -3.3477 2.8500
Ca Tb Ho Rh
1 2 1 4
Cartesian
0.0000 0.0000 0.0000
-10.0127 1.6985 1.7096
-3.2984 0.6064 0.5465
-6.6556 1.1524 1.1280
-8.5122 -0.7559 2.2398
-8.1174 3.6466 0.5747
-5.1938 -1.3417 1.6814
-4.7989 3.0608 0.0163
```

Output
As for the total DFT energy (no corrections): -6.42 eV per atom.

---

[10]
The following is a PBE calculation of an optimized crystal structure of CaY2HoRh4, from Alexandria.

Structure (POSCAR):
```
CaY2HoRh4
1.0
4.8390 0.0000 0.0000
2.4195 4.1907 0.0000
2.4195 1.3969 7.9112
Ca Y Ho Rh
1 2 1 4
Cartesian
0.0000 0.0000 0.0000
7.2585 4.1907 5.9774
2.4195 1.3969 1.9338
4.8390 2.7938 3.9556
4.8390 2.7938 6.8428
7.2585 4.1907 3.0326
2.4195 1.3969 4.8786
4.8390 2.7938 1.0684
```

Output
As for the total DFT energy (no corrections): -6.87 eV per atom.

---

[11]
The following is a PBE calculation of an optimized crystal structure of CaHoRu4, from Alexandria.

Structure (POSCAR):
```
CaHoRu4
1.0
5.3323 0.0000 0.0000
2.6661 4.6179 0.0000
2.6661 1.5393 4.3538
Ru Ca Ho
4 1 1
Cartesian
5.3323 3.0786 0.5431
5.3323 1.5382 2.7215
6.6663 3.8488 2.7215
3.9983 3.8488 2.7215
2.6661 1.5393 1.0884
0.0000 0.0000 0.0000
```

Output
As for the total DFT energy (no corrections): -7.39 eV per atom.

---

[12]
The following is a PBE calculation of an optimized crystal structure of CaHoZnRu, from Alexandria.

Structure (POSCAR):
```
CaHoZnRu
1.0
4.9183 0.0000 0.0000
2.4592 4.2594 0.0000
2.4592 1.4198 4.0158
Ru Zn Ca Ho
1 1 1 1
Cartesian
4.9183 2.8396 2.0079
0.0000 0.0000 0.0000
7.3775 4.2594 3.0118
2.4592 1.4198 1.0039
```

Output
As for the total DFT energy (no corrections): -4.42 eV per atom.

---

[13]
The following is a PBE calculation of an optimized crystal structure of CaHoS, from Alexandria.

Structure (POSCAR):
```
CaHoS
1.0
5.6078 0.0000 0.0000
2.8039 4.8565 0.0000
2.8039 1.6188 7.1287
Ca S Ho
2 2 2
Cartesian
5.6078 3.2376 1.6240
5.6078 3.2376 5.5047
2.8039 1.6188 1.1634
8.4116 4.8565 5.9654
8.4116 4.8565 3.4713
2.8039 1.6188 3.6575
```

Output
As for the total DFT energy (no corrections): -4.34 eV per atom. The calculation puts the formation energy without anion corrections at -0.776 eV per atom.

---

[14]
The following is a PBE calculation of an optimized crystal structure of CaHo2S, from Alexandria.

Structure (POSCAR):
```
CaHo2S
1.0
3.7177 0.0000 0.0000
1.8589 3.2197 0.0000
1.8589 1.0732 9.9921
S Ca Ho
1 1 2
Cartesian
3.7177 2.1464 4.9961
0.0000 0.0000 0.0000
1.8589 1.0732 6.5959
5.5766 3.2197 3.3962
```

Output
As for the total DFT energy (no corrections): -4.60 eV per atom. The calculation puts the formation energy without anion corrections at -0.780 eV per atom.

---

[15]
The following is a PBE calculation of an optimized crystal structure of CaHo6S8, from Alexandria.

Structure (POSCAR):
```
CaHo6S8
1.0
6.7297 0.0000 3.8854
2.2432 6.3448 3.8854
0.0000 0.0000 7.7708
Ca Ho S
1 6 8
Cartesian
0.0000 0.0000 0.0000
1.1216 3.1724 5.8281
3.3649 0.0000 1.9427
4.4865 3.1724 3.8854
0.0000 0.0000 3.8854
1.1216 3.1724 1.9427
3.3649 0.0000 5.8281
6.7297 4.7586 11.6562
2.2432 1.5862 3.8854
5.5960 1.6033 5.8490
3.3769 4.7415 9.6926
2.2674 1.6033 7.7708
6.7056 4.7415 7.7708
5.5960 1.6033 9.6926
3.3769 4.7415 5.8490
```

Output
As for the total DFT energy (no corrections): -6.22 eV per atom. The calculation puts the formation energy without anion corrections at -2.053 eV per atom.

---

[16]
The following is a PBE calculation of an optimized crystal structure of CaHo4S6, from Alexandria.

Structure (POSCAR):
```
CaHo4S6
1.0
-0.8060 3.5029 -1.4347
-0.6820 -4.3638 -5.0515
-19.2097 -2.4803 4.7362
Ca Ho S
2 8 12
Cartesian
-5.5458 0.3119 -1.3429
-15.1519 -3.6531 -0.4070
-11.5817 -1.4854 -2.3402
-3.3897 -2.4456 -4.0667
-9.1160 -1.8558 0.5902
-17.3080 -0.8957 2.3167
-19.6131 -2.5224 -0.3601
-1.0846 -0.8188 -1.3899
-12.7202 -0.3033 1.1856
-7.9775 -3.0379 -2.9355
-0.4030 1.7514 -0.7173
-10.0079 0.5113 1.6507
-6.5629 -1.0698 1.0751
-14.1348 -2.2715 -2.8250
-17.4606 -2.7009 -2.0051
-3.2372 -0.6404 0.2551
-8.9433 -0.6889 -1.8777
-11.7544 -2.6523 0.1278
-18.0561 -3.4660 1.6815
-2.6417 0.1247 -3.4314
-5.4812 -2.2543 -2.4246
-15.2166 -1.0870 0.6747
```

Output
As for the total DFT energy (no corrections): -6.15 eV per atom. The calculation puts the formation energy without anion corrections at -2.054 eV per atom.

---

[17]
The following is a PBE calculation of an optimized crystal structure of Ca3Ho4S8, from Alexandria.

Structure (POSCAR):
```
Ca3Ho4S8
1.0
-1.4350 7.2615 2.6214
2.8244 -5.4429 4.9367
6.0423 -1.2610 -4.8862
Ca Ho S
3 4 8
Cartesian
0.6947 0.9093 3.7791
2.3037 3.0002 -1.1324
3.7159 0.2788 1.3360
-0.7175 3.6307 1.3107
1.4122 -2.7215 2.4684
0.0000 0.0000 0.0000
3.0212 -0.6305 -2.4431
1.4164 1.9315 1.2863
3.6154 -4.4149 2.5221
0.7429 5.5772 2.6177
2.9034 -0.7770 3.8160
4.5283 1.3346 -1.1441
6.6889 -5.0196 0.0542
5.2513 -2.2890 -2.4715
6.0153 -1.3740 1.3856
```

Output
As for the total DFT energy (no corrections): -5.90 eV per atom. The calculation puts the formation energy without anion corrections at -2.081 eV per atom.

---

[18]
The following is a PBE calculation of an optimized crystal structure of Ca6HoS8, from Alexandria.

Structure (POSCAR):
```
Ca6HoS8
1.0
6.9843 0.0000 4.0324
2.3281 6.5849 4.0324
0.0000 0.0000 8.0648
Ca Ho S
6 1 8
Cartesian
1.1641 3.2924 6.0486
3.4922 0.0000 2.0162
4.6562 3.2924 4.0324
0.0000 0.0000 4.0324
1.1641 3.2924 2.0162
3.4922 0.0000 6.0486
0.0000 0.0000 0.0000
6.9843 4.9387 12.0972
2.3281 1.6462 4.0324
5.8730 1.5717 5.9574
3.4395 5.0132 10.1723
2.2228 1.5717 8.0648
7.0897 5.0132 8.0648
5.8730 1.5717 10.1723
3.4395 5.0132 5.9574
```

Output
As for the total DFT energy (no corrections): -5.30 eV per atom. The calculation puts the formation energy without anion corrections at -1.990 eV per atom.

---

[19]
The following is a PBE calculation of an optimized crystal structure of CaHoS2, from Alexandria.

Structure (POSCAR):
```
CaHoS2
1.0
3.9223 0.0121 0.0101
1.9506 3.4029 0.0101
1.9298 1.1222 6.5422
Ca Ho S
1 1 2
Cartesian
3.9014 2.2686 3.2811
0.0000 0.0000 0.0000
5.8522 3.4030 4.9658
1.9506 1.1342 1.5965
```

Output
The excess energy over the best structure of this formula in the dataset is 0 meV per atom. As for the total DFT energy (no corrections): -5.76 eV per atom. The calculation puts the formation energy without anion corrections at -2.048 eV per atom.

---

[20]
The following is a PBE calculation of an optimized crystal structure of Ca3Ho5S8, from Alexandria.

Structure (POSCAR):
```
Ca3Ho5S8
1.0
-6.7743 3.7226 1.2883
-2.6604 0.8739 7.3190
0.0212 7.1266 3.3520
Ca Ho S
3 5 8
Cartesian
-3.3766 5.4246 2.3201
0.0106 3.5633 1.6760
-1.3196 4.0002 5.3355
-3.3872 1.8613 0.6441
-4.7174 2.2982 4.3036
0.0000 0.0000 0.0000
-1.3302 0.4369 3.6595
-4.7068 5.8616 5.9796
-2.3422 6.5184 4.6768
-3.6637 6.9524 8.3124
-5.7072 8.3675 5.3168
-7.0386 8.8305 8.9727
-7.0714 5.2047 7.2824
-5.7499 4.7707 3.6468
-3.7064 3.3556 6.6425
-2.3750 2.8926 2.9865
```

Output
As for the total DFT energy (no corrections): -5.89 eV per atom. The calculation puts the formation energy without anion corrections at -2.024 eV per atom.

---

[21]
The following is a PBE calculation of an optimized crystal structure of CaHo2S3, from Alexandria.

Structure (POSCAR):
```
CaHo2S3
1.0
3.6358 0.0000 -1.4190
-1.0043 4.7965 -2.5732
0.5482 0.5543 6.7721
Ca Ho S
1 2 3
Cartesian
-0.5021 2.3982 -1.2866
0.7473 4.3774 1.9148
2.4324 0.9734 0.8650
1.9457 3.3961 -0.3820
0.0000 0.0000 0.0000
1.2340 1.9546 3.1618
```

Output
As for the total DFT energy (no corrections): -5.94 eV per atom. The calculation puts the formation energy without anion corrections at -2.020 eV per atom.

---

[22]
The following is a PBE calculation of an optimized crystal structure of CaHoS2, from Alexandria.

Structure (POSCAR):
```
CaHoS2
1.0
-2.4130 0.2161 3.0540
3.8419 -0.3306 0.5711
1.1502 13.3092 -0.0328
Ca Ho S
2 2 4
Cartesian
-0.0405 3.3611 2.2181
2.6196 9.8335 1.3741
0.5751 6.6546 -0.0164
0.0000 0.0000 0.0000
2.1954 4.9245 1.3862
0.6855 11.7613 2.1974
0.3838 8.2701 2.2060
1.8937 1.4333 1.3948
```

Output
The excess energy over the best structure of this formula in the dataset is 41 meV per atom. As for the total DFT energy (no corrections): -5.72 eV per atom. The calculation puts the formation energy without anion corrections at -2.007 eV per atom.

---

[23]
The following is a PBE calculation of an optimized crystal structure of CaHoS2, from Alexandria.

Structure (POSCAR):
```
CaHoS2
1.0
3.8720 0.0000 0.0000
1.9360 3.3532 0.0000
1.9360 1.1177 6.8424
Ca Ho S
1 1 2
Cartesian
3.8720 2.2355 3.5208
5.8080 3.3532 6.7712
1.9360 1.1177 5.2030
1.9360 1.1177 1.6110
```

Output
The excess energy over the best structure of this formula in the dataset is 93 meV per atom. As for the total DFT energy (no corrections): -5.66 eV per atom. The calculation puts the formation energy without anion corrections at -1.955 eV per atom.

---

[24]
The following is a PBE calculation of an optimized crystal structure of Ca2HoScS4, from Alexandria.

Structure (POSCAR):
```
Ca2HoScS4
1.0
-0.7268 3.7904 0.3948
-1.6337 -0.9827 6.4271
6.6945 1.3291 -0.4359
Ca Ho Sc S
2 1 1 4
Cartesian
2.9839 2.5597 -0.0205
2.5304 0.1732 2.9956
-1.1803 1.4039 3.4109
0.0000 0.0000 0.0000
0.8200 1.9727 1.6320
3.5140 2.1641 4.7540
4.6873 0.7678 1.2575
0.3735 -0.4214 4.7337
```

Output
As for the total DFT energy (no corrections): -5.93 eV per atom. The calculation puts the formation energy without anion corrections at -2.006 eV per atom.